--- 1 ---
A relaxed structure of PmHo2Tm7. Source: Alexandria via LeMat-Bulk, functional PBE-GGA.

Cell: 5.364 6.954 9.335 Å, 68.16 73.31 89.95°
Element x y z (fractional)
1 Pm 0.000 0.000 0.000
2 Ho 0.200 0.700 0.601
3 Ho 0.800 0.300 0.399
4 Tm 0.000 0.500 0.000
5 Tm 0.200 0.201 0.599
6 Tm 0.390 0.141 0.220
7 Tm 0.390 0.638 0.220
8 Tm 0.610 0.362 0.780
9 Tm 0.610 0.859 0.780
10 Tm 0.800 0.799 0.401

Computed properties:
density of states at the Fermi level: 1.716 states/eV/atom



--- 2 ---
A relaxed structure of PmHo2Tm7. Source: Alexandria via LeMat-Bulk, functional PBE-GGA.

Cell: 9.200 9.200 5.451 Å, 90.00 90.00 123.89°
Element x y z (fractional)
1 Pm 0.000 0.000 0.000
2 Ho 0.298 0.702 0.500
3 Ho 0.702 0.298 0.500
4 Tm 0.062 0.291 0.500
5 Tm 0.209 0.791 0.000
6 Tm 0.291 0.062 0.500
7 Tm 0.500 0.500 0.500
8 Tm 0.709 0.938 0.500
9 Tm 0.791 0.209 0.000
10 Tm 0.938 0.709 0.500

Computed properties:
density of states at the Fermi level: 1.543 states/eV/atom



Energies in meV/atom, measured from the most stable structure: 1 0; 2 669.



--- 1 ---
A relaxed structure of Pm6Ho2Tm3. Source: Alexandria via LeMat-Bulk, functional PBE-GGA.

Cell: 32.021 32.021 32.021 Å, 6.42 6.42 6.42°
Element x y z (fractional)
1 Pm 0.090 0.090 0.090
2 Pm 0.182 0.182 0.182
3 Pm 0.363 0.363 0.363
4 Pm 0.637 0.637 0.637
5 Pm 0.818 0.818 0.818
6 Pm 0.910 0.910 0.910
7 Ho 0.454 0.454 0.454
8 Ho 0.546 0.546 0.546
9 Tm 0.000 0.000 0.000
10 Tm 0.273 0.273 0.273
11 Tm 0.727 0.727 0.727

Computed properties:
density of states at the Fermi level: 1.138 states/eV/atom



--- 2 ---
A relaxed structure of Pm6Ho2Tm3. Source: Alexandria via LeMat-Bulk, functional PBE-GGA.

Cell: 17.096 17.096 17.096 Å, 164.04 164.04 22.64°
Element x y z (fractional)
1 Pm 0.120 0.620 0.500
2 Pm 0.201 0.201 0.000
3 Pm 0.380 0.880 0.500
4 Pm 0.620 0.120 0.500
5 Pm 0.799 0.799 0.000
6 Pm 0.880 0.380 0.500
7 Ho 0.045 0.045 0.000
8 Ho 0.955 0.955 0.000
9 Tm 0.303 0.303 0.000
10 Tm 0.500 0.500 0.000
11 Tm 0.697 0.697 0.000

Computed properties:
density of states at the Fermi level: 1.456 states/eV/atom



Energies in meV/atom, measured from the most stable structure: 1 0; 2 288.



--- 1 ---
A relaxed structure of Pm3Ho7Tm2. Source: Alexandria via LeMat-Bulk, functional PBE-GGA.

Cell: 3.602 5.545 20.455 Å, 90.00 95.12 90.00°
Element x y z (fractional)
1 Pm 0.000 0.000 0.000
2 Pm 0.327 0.500 0.660
3 Pm 0.673 0.500 0.340
4 Ho 0.089 0.500 0.172
5 Ho 0.216 0.000 0.431
6 Ho 0.430 0.000 0.865
7 Ho 0.500 0.500 0.000
8 Ho 0.570 0.000 0.135
9 Ho 0.784 0.000 0.569
10 Ho 0.911 0.500 0.828
11 Tm 0.141 0.000 0.274
12 Tm 0.859 0.000 0.726

Computed properties:
density of states at the Fermi level: 1.632 states/eV/atom



--- 2 ---
A relaxed structure of Pm3Ho7Tm2. Source: Alexandria via LeMat-Bulk, functional PBE-GGA.

Cell: 5.799 3.546 18.691 Å, 90.00 93.15 90.00°
Element x y z (fractional)
1 Pm 0.000 0.000 0.000
2 Pm 0.275 0.500 0.634
3 Pm 0.725 0.500 0.366
4 Ho 0.192 0.500 0.144
5 Ho 0.243 0.000 0.463
6 Ho 0.305 0.000 0.823
7 Ho 0.500 0.500 0.000
8 Ho 0.695 0.000 0.177
9 Ho 0.757 0.000 0.537
10 Ho 0.808 0.500 0.856
11 Tm 0.213 0.000 0.293
12 Tm 0.787 0.000 0.707

Computed properties:
density of states at the Fermi level: 1.253 states/eV/atom



Energies in meV/atom, measured from the most stable structure: 1 144; 2 0.



--- 1 ---
A relaxed structure of Pm3HoTm. Source: Alexandria via LeMat-Bulk, functional PBE-GGA.

Cell: 8.796 8.796 7.079 Å, 101.48 101.48 37.75°
Element x y z (fractional)
1 Pm 0.000 0.000 0.000
2 Pm 0.004 0.004 0.493
3 Pm 0.195 0.195 0.337
4 Pm 0.390 0.390 0.434
5 Pm 0.579 0.579 0.787
6 Pm 0.789 0.789 0.643
7 Ho 0.387 0.387 0.941
8 Ho 0.582 0.582 0.285
9 Tm 0.191 0.191 0.841
10 Tm 0.788 0.788 0.134

Computed properties:
density of states at the Fermi level: 1.558 states/eV/atom



--- 2 ---
A relaxed structure of Pm3HoTm. Source: Alexandria via LeMat-Bulk, functional PBE-GGA.

Cell: 3.556 17.475 10.963 Å, 90.00 90.00 90.00°
Element x y z (fractional)
1 Pm 0.249 0.076 0.056
2 Pm 0.249 0.076 0.444
3 Pm 0.249 0.424 0.556
4 Pm 0.249 0.424 0.944
5 Pm 0.251 0.750 0.000
6 Pm 0.251 0.750 0.500
7 Pm 0.749 0.250 0.000
8 Pm 0.749 0.250 0.500
9 Pm 0.751 0.576 0.056
10 Pm 0.751 0.576 0.444
11 Pm 0.751 0.924 0.556
12 Pm 0.751 0.924 0.944
13 Ho 0.251 0.601 0.750
14 Ho 0.251 0.899 0.250
15 Ho 0.749 0.101 0.750
16 Ho 0.749 0.399 0.250
17 Tm 0.249 0.226 0.250
18 Tm 0.249 0.274 0.750
19 Tm 0.751 0.726 0.250
20 Tm 0.751 0.774 0.750

Computed properties:
density of states at the Fermi level: 1.441 states/eV/atom



Energies in meV/atom, measured from the most stable structure: 1 0; 2 121.



--- 1 ---
A relaxed structure of Pm6Ho2Tm. Source: Alexandria via LeMat-Bulk, functional PBE-GGA.

Cell: 10.068 10.068 6.215 Å, 94.89 94.89 71.55°
Element x y z (fractional)
1 Pm 0.094 0.811 0.986
2 Pm 0.146 0.428 0.153
3 Pm 0.189 0.906 0.514
4 Pm 0.241 0.523 0.680
5 Pm 0.428 0.146 0.653
6 Pm 0.477 0.759 0.820
7 Pm 0.523 0.241 0.180
8 Pm 0.572 0.854 0.347
9 Pm 0.759 0.477 0.320
10 Pm 0.811 0.094 0.486
11 Pm 0.854 0.572 0.847
12 Pm 0.906 0.189 0.014
13 Ho 0.068 0.266 0.582
14 Ho 0.266 0.068 0.082
15 Ho 0.734 0.932 0.918
16 Ho 0.932 0.734 0.418
17 Tm 0.401 0.599 0.250
18 Tm 0.599 0.401 0.750

Computed properties:
density of states at the Fermi level: 1.377 states/eV/atom



--- 2 ---
A relaxed structure of Pm6Ho2Tm. Source: Alexandria via LeMat-Bulk, functional PBE-GGA.

Cell: 9.961 9.961 3.646 Å, 90.00 90.00 123.94°
Element x y z (fractional)
1 Pm 0.011 0.341 0.000
2 Pm 0.185 0.185 0.500
3 Pm 0.341 0.011 0.000
4 Pm 0.659 0.989 0.000
5 Pm 0.815 0.815 0.500
6 Pm 0.989 0.659 0.000
7 Ho 0.324 0.676 0.500
8 Ho 0.676 0.324 0.500
9 Tm 0.500 0.500 0.000

Computed properties:
density of states at the Fermi level: 1.323 states/eV/atom



Energies in meV/atom, measured from the most stable structure: 1 0; 2 46.



--- 1 ---
A relaxed structure of Pm3HoTm7. Source: Alexandria via LeMat-Bulk, functional PBE-GGA.

Cell: 6.994 6.994 8.591 Å, 90.00 90.00 120.00°
Element x y z (fractional)
1 Pm 0.000 0.500 0.000
2 Pm 0.500 0.000 0.000
3 Pm 0.500 0.500 0.000
4 Ho 0.333 0.667 0.662
5 Tm 0.167 0.335 0.338
6 Tm 0.167 0.833 0.338
7 Tm 0.335 0.168 0.661
8 Tm 0.665 0.833 0.338
9 Tm 0.667 0.333 0.338
10 Tm 0.832 0.168 0.661
11 Tm 0.832 0.665 0.661

Computed properties:
density of states at the Fermi level: 1.510 states/eV/atom



--- 2 ---
A relaxed structure of Pm3HoTm7. Source: Alexandria via LeMat-Bulk, functional PBE-GGA.

Cell: 6.899 5.459 9.916 Å, 90.00 109.33 90.00°
Element x y z (fractional)
1 Pm 0.000 0.000 0.000
2 Pm 0.281 0.500 0.495
3 Pm 0.719 0.500 0.505
4 Ho 0.500 0.000 0.000
5 Tm 0.000 0.000 0.500
6 Tm 0.150 0.500 0.789
7 Tm 0.321 0.500 0.137
8 Tm 0.425 0.000 0.330
9 Tm 0.575 0.000 0.670
10 Tm 0.679 0.500 0.863
11 Tm 0.850 0.500 0.211

Computed properties:
density of states at the Fermi level: 1.593 states/eV/atom



Energies in meV/atom, measured from the most stable structure: 1 23; 2 0.



--- 1 ---
A relaxed structure of Pm5Ho3Tm. Source: Alexandria via LeMat-Bulk, functional PBE-GGA.

Cell: 9.663 9.663 9.663 Å, 122.70 122.70 85.38°
Element x y z (fractional)
1 Pm 0.000 0.000 0.000
2 Pm 0.070 0.570 0.904
3 Pm 0.166 0.070 0.500
4 Pm 0.334 0.834 0.904
5 Pm 0.430 0.334 0.500
6 Pm 0.500 0.500 0.000
7 Pm 0.570 0.666 0.500
8 Pm 0.666 0.166 0.096
9 Pm 0.834 0.930 0.500
10 Pm 0.930 0.430 0.096
11 Ho 0.110 0.390 0.500
12 Ho 0.250 0.250 0.000
13 Ho 0.390 0.890 0.280
14 Ho 0.610 0.110 0.720
15 Ho 0.750 0.750 0.000
16 Ho 0.890 0.610 0.500
17 Tm 0.250 0.750 0.500
18 Tm 0.750 0.250 0.500

Computed properties:
density of states at the Fermi level: 1.442 states/eV/atom



--- 2 ---
A relaxed structure of Pm5Ho3Tm. Source: Alexandria via LeMat-Bulk, functional PBE-GGA.

Cell: 8.868 8.868 11.572 Å, 108.81 108.81 44.60°
Element x y z (fractional)
1 Pm 0.109 0.112 0.551
2 Pm 0.112 0.109 0.051
3 Pm 0.189 0.811 0.750
4 Pm 0.242 0.415 0.656
5 Pm 0.415 0.242 0.156
6 Pm 0.585 0.758 0.844
7 Pm 0.758 0.585 0.344
8 Pm 0.811 0.189 0.250
9 Pm 0.888 0.891 0.949
10 Pm 0.891 0.888 0.449
11 Ho 0.143 0.335 0.873
12 Ho 0.335 0.143 0.373
13 Ho 0.500 0.500 0.000
14 Ho 0.500 0.500 0.500
15 Ho 0.665 0.857 0.627
16 Ho 0.857 0.665 0.127
17 Tm 0.262 0.738 0.250
18 Tm 0.738 0.262 0.750

Computed properties:
density of states at the Fermi level: 1.331 states/eV/atom



Energies in meV/atom, measured from the most stable structure: 1 143; 2 0.



--- 1 ---
A relaxed structure of Pm2HoTm4. Source: Alexandria via LeMat-Bulk, functional PBE-GGA.

Cell: 6.751 6.751 6.751 Å, 103.19 103.19 122.92°
Element x y z (fractional)
1 Pm 0.250 0.750 0.500
2 Pm 0.750 0.250 0.500
3 Ho 0.000 0.000 0.000
4 Tm 0.303 0.303 0.606
5 Tm 0.303 0.697 0.000
6 Tm 0.697 0.303 0.000
7 Tm 0.697 0.697 0.394

Computed properties:
density of states at the Fermi level: 1.801 states/eV/atom



--- 2 ---
A relaxed structure of Pm2HoTm4. Source: Alexandria via LeMat-Bulk, functional PBE-GGA.

Cell: 5.996 8.433 9.797 Å, 85.23 72.80 69.47°
Element x y z (fractional)
1 Pm 0.000 0.000 0.000
2 Pm 0.015 0.929 0.359
3 Pm 0.193 0.499 0.499
4 Pm 0.298 0.069 0.640
5 Ho 0.186 0.568 0.138
6 Ho 0.895 0.432 0.861
7 Tm 0.368 0.643 0.777
8 Tm 0.403 0.145 0.274
9 Tm 0.444 0.216 0.921
10 Tm 0.582 0.783 0.077
11 Tm 0.618 0.712 0.422
12 Tm 0.749 0.287 0.578
13 Tm 0.788 0.357 0.222
14 Tm 0.821 0.853 0.723

Computed properties:
density of states at the Fermi level: 1.612 states/eV/atom



Energies in meV/atom, measured from the most stable structure: 1 177; 2 0.



--- 1 ---
A relaxed structure of PmHoTmZn. Source: Alexandria via LeMat-Bulk, functional PBE-GGA.

Cell: 3.554 3.554 8.676 Å, 90.00 90.00 90.00°
Element x y z (fractional)
1 Pm 0.000 0.000 0.000
2 Ho 0.500 0.500 0.701
3 Tm 0.500 0.500 0.296
4 Zn 0.000 0.000 0.495

Computed properties:
density of states at the Fermi level: 1.110 states/eV/atom



--- 2 ---
A relaxed structure of PmHoTmZn. Source: Alexandria via LeMat-Bulk, functional PBE-GGA.

Cell: 5.344 5.344 5.344 Å, 60.00 60.00 60.00°
Element x y z (fractional)
1 Pm 0.000 0.000 0.000
2 Ho 0.500 0.500 0.500
3 Tm 0.250 0.250 0.250
4 Zn 0.750 0.750 0.750

Computed properties:
density of states at the Fermi level: 1.166 states/eV/atom



Energies in meV/atom, measured from the most stable structure: 1 0; 2 196.



--- 1 ---
A relaxed structure of Pm3Y2Ho2. Source: Alexandria via LeMat-Bulk, functional PBE-GGA.

Cell: 6.220 6.220 10.778 Å, 95.67 95.67 33.57°
Element x y z (fractional)
1 Pm 0.000 0.000 0.000
2 Pm 0.142 0.142 0.570
3 Pm 0.858 0.858 0.430
4 Y 0.285 0.285 0.143
5 Y 0.715 0.715 0.857
6 Ho 0.429 0.429 0.715
7 Ho 0.571 0.571 0.285

Computed properties:
density of states at the Fermi level: 1.276 states/eV/atom



--- 2 ---
A relaxed structure of Pm3Y2Ho2. Source: Alexandria via LeMat-Bulk, functional PBE-GGA.

Cell: 8.961 8.961 8.573 Å, 118.24 118.24 22.70°
Element x y z (fractional)
1 Pm 0.000 0.000 0.000
2 Pm 0.212 0.212 0.301
3 Pm 0.788 0.788 0.699
4 Y 0.145 0.145 0.823
5 Y 0.855 0.855 0.177
6 Ho 0.435 0.435 0.591
7 Ho 0.565 0.565 0.409

Computed properties:
density of states at the Fermi level: 1.608 states/eV/atom



Energies in meV/atom, measured from the most stable structure: 1 0; 2 89.



--- 1 ---
A relaxed structure of PmY2Ho. Source: Alexandria via LeMat-Bulk, functional PBE-GGA.

Cell: 3.603 3.603 11.755 Å, 98.75 98.75 60.04°
Element x y z (fractional)
1 Pm 0.000 0.000 0.000
2 Y 0.167 0.167 0.501
3 Y 0.751 0.751 0.252
4 Ho 0.583 0.583 0.748

Computed properties:
density of states at the Fermi level: 1.485 states/eV/atom



--- 2 ---
A relaxed structure of PmY2Ho. Source: Alexandria via LeMat-Bulk, functional PBE-GGA.

Cell: 5.710 5.710 5.710 Å, 60.00 60.00 60.00°
Element x y z (fractional)
1 Pm 0.000 0.000 0.000
2 Y 0.250 0.250 0.250
3 Y 0.750 0.750 0.750
4 Ho 0.500 0.500 0.500

Computed properties:
density of states at the Fermi level: 2.223 states/eV/atom



Energies in meV/atom, measured from the most stable structure: 1 0; 2 111.